No. 1
Material: Nb3HgW
Method: DFT, PBE
State: relaxed

Computed properties:
formation energy: 2.444 eV/atom
energy above the most stable polymorph in this dataset: 1.188 eV/atom
final energy: -31.24 eV for the cell shown

Cell lengths 4.943, 4.943, 4.943 Å; angles 90.00, 90.00, 90.00 degrees
Space group Pm-3m (No. 221)
Asymmetric unit:
Nb 0.000 0.000 0.500 (multiplicity 3)
Hg 0.000 0.000 0.000 (multiplicity 1)
W 0.500 0.500 0.500 (multiplicity 1)



No. 2
Material: Ho3Np3VN8
Method: DFT, PBE
State: relaxed

Computed properties:
formation energy (no corrections): -1220 meV per atom
final energy: -439.75 eV for the cell shown

Cell lengths 6.6704, 6.6704, 16.6996 Å; angles 90.00, 90.00, 120.00 degrees
Space group R-3m (No. 166, hexagonal axes)
Asymmetric unit:
Ho 0.0000 0.5000 0.0000 (multiplicity 9)
Np 0.0000 0.5000 0.5000 (multiplicity 9)
V 0.0000 0.0000 0.5000 (multiplicity 3)
N 0.0000 0.0000 0.2513 (multiplicity 6)
N 0.0267 0.5134 0.2374 (multiplicity 18)



No. 3
Material: NdMn2H7
Method: DFT, PBE
State: relaxed

Computed properties:
final energy: -96.10 eV for the cell shown

Cell lengths 4.914, 9.177, 3.496 Å; angles 90.00, 90.00, 90.00 degrees
Space group Cmmm (No. 65)
Asymmetric unit:
Nd 0.000 0.000 0.000 (multiplicity 2)
Mn 0.000 0.317 0.500 (multiplicity 4)
H 0.000 0.351 0.000 (multiplicity 4)
H 0.000 0.500 0.500 (multiplicity 2)
H 0.170 0.150 0.500 (multiplicity 8)